# 1
Computed, not measured: a crystal of Sc2IrPb relaxed with PBEsol at the meta-GGA SCAN level of DFT.

Geometry as extended XYZ:
```
4
Lattice="3.138 0.000 0.000 0.000 3.138 0.000 0.000 0.000 8.068" Properties=species:S:1:pos:R:3 pbc="T T T"
Sc 0.000 0.000 1.655
Sc 0.000 0.000 6.413
Ir 1.569 1.569 0.000
Pb 1.569 1.569 4.034
```

calculated total energy = -44.716 eV/atom
calculated formation energy = -0.878 eV/atom



# 2
Computed, not measured: a crystal of ScIrPb relaxed with PBEsol at the meta-GGA SCAN level of DFT.

Geometry as extended XYZ:
```
3
Lattice="0.000 3.195 3.195 3.195 0.000 3.195 3.195 3.195 0.000" Properties=species:S:1:pos:R:3 pbc="T T T"
Sc 0.000 0.000 0.000
Ir 1.598 1.598 1.598
Pb 3.195 3.195 3.195
```

calculated total energy = -54.297 eV/atom
calculated formation energy = -0.591 eV/atom